## RbBa2Ta (SCAN)

Data for a PBEsol-optimized structure of RbBa2Ta.

Space-group type: Fm-3m (225)
Energy relative to the elements, eV/atom: 1.128
Total magnetization, μB/f.u.: 5.44
Total DFT energy (no corrections), eV for the cell shown: -647.64

Cell and atoms, written as POSCAR:
```
RbBa2Ta
1.0
8.6488 0.0000 0.0000
0.0000 8.6488 0.0000
0.0000 0.0000 8.6488
Rb Ba Ta
4 8 4
Direct
0.0000 0.0000 0.0000
0.0000 0.5000 0.5000
0.5000 0.0000 0.5000
0.5000 0.5000 0.0000
0.2500 0.2500 0.2500
0.2500 0.2500 0.7500
0.2500 0.7500 0.2500
0.2500 0.7500 0.7500
0.7500 0.2500 0.2500
0.7500 0.2500 0.7500
0.7500 0.7500 0.2500
0.7500 0.7500 0.7500
0.0000 0.0000 0.5000
0.0000 0.5000 0.0000
0.5000 0.0000 0.0000
0.5000 0.5000 0.5000
```

***

## RbBa3Tc (SCAN)

Data for a PBEsol-optimized structure of RbBa3Tc.

Space-group type: Pm-3m (221)
Energy relative to the elements, eV/atom: 1.590
Total magnetization, μB/f.u.: 3.05
Total DFT energy (no corrections), eV for the cell shown: -166.50

Cell and atoms, written as POSCAR:
```
RbBa3Tc
1.0
6.1032 0.0000 0.0000
0.0000 6.1032 0.0000
0.0000 0.0000 6.1032
Rb Ba Tc
1 3 1
Direct
0.0000 0.0000 0.0000
0.0000 0.0000 0.5000
0.0000 0.5000 0.0000
0.5000 0.0000 0.0000
0.5000 0.5000 0.5000
```

***

## Rb3BaTe (SCAN)

Data for a PBEsol-optimized structure of Rb3BaTe.

Space-group type: Pm-3m (221)
Total magnetization, μB/f.u.: 0.99
ΔE_f (raw), eV/atom: -0.3989
Total DFT energy (no corrections), eV for the cell shown: -141.01

Cell and atoms, written as POSCAR:
```
Rb3BaTe
1.0
6.9898 0.0000 0.0000
0.0000 6.9898 0.0000
0.0000 0.0000 6.9898
Rb Ba Te
3 1 1
Direct
0.0000 0.0000 0.5000
0.0000 0.5000 0.0000
0.5000 0.0000 0.0000
0.5000 0.5000 0.5000
0.0000 0.0000 0.0000
```

***

## Rb2BaTi (SCAN)

Data for a PBEsol-optimized structure of Rb2BaTi.

Space-group type: Fm-3m (225)
Energy relative to the elements, eV/atom: 0.914
Total magnetization, μB/f.u.: 3.72
Total DFT energy (no corrections), eV for the cell shown: -373.61

Cell and atoms, written as POSCAR:
```
Rb2BaTi
1.0
9.2225 0.0000 0.0000
0.0000 9.2225 0.0000
0.0000 0.0000 9.2225
Rb Ba Ti
8 4 4
Direct
0.2500 0.2500 0.2500
0.2500 0.2500 0.7500
0.2500 0.7500 0.2500
0.2500 0.7500 0.7500
0.7500 0.2500 0.2500
0.7500 0.2500 0.7500
0.7500 0.7500 0.2500
0.7500 0.7500 0.7500
0.0000 0.0000 0.0000
0.0000 0.5000 0.5000
0.5000 0.0000 0.5000
0.5000 0.5000 0.0000
0.0000 0.0000 0.5000
0.0000 0.5000 0.0000
0.5000 0.0000 0.0000
0.5000 0.5000 0.5000
```